1.
Computed, not measured: an optimized crystal structure of Zr3BiH at the PBE-GGA level of DFT.

Values from the calculation:
As for the total moment: 0.00 Bohr magnetons per cell. The calculation puts the excess energy over the best structure of this formula in the dataset at 0.6021 eV per atom.

a = 4.1858 Å, b = 4.1858 Å, c = 7.5766 Å
α = 90.00°, β = 90.00°, γ = 90.00°
Element x y z (fractional)
Zr 0.0000 0.0000 0.0000
Zr 0.0000 0.5000 0.6988
Zr 0.5000 0.0000 0.6988
Bi 0.0000 0.0000 0.3931
H 0.5000 0.5000 0.6433

2.
Computed, not measured: an optimized crystal structure of Ba2As2Ru at the PBE-GGA level of DFT.

Values from the calculation:
As for the total moment: 0.00 Bohr magnetons per cell. As for the formation enthalpy at 0 K: -443.6 meV per atom.

a = 6.8682 Å, b = 6.8682 Å, c = 5.3049 Å
α = 90.00°, β = 90.00°, γ = 90.00°
Element x y z (fractional)
Ba 0.1755 0.3245 0.0000
Ba 0.3245 0.8245 0.0000
Ba 0.6755 0.1755 0.0000
Ba 0.8245 0.6755 0.0000
As 0.1393 0.6393 0.5000
As 0.3607 0.1393 0.5000
As 0.6393 0.8607 0.5000
As 0.8607 0.3607 0.5000
Ru 0.0000 0.0000 0.5000
Ru 0.5000 0.5000 0.5000

3.
Computed, not measured: an optimized crystal structure of Tm4PuScS8 at the PBE-GGA level of DFT.

Values from the calculation:
For the formation energy from raw total energies, the calculation gives -2504 kJ/mol of formula units. As for the total moment: 6.36 Bohr magnetons per cell.

a = 7.8831 Å, b = 7.8831 Å, c = 7.8831 Å
α = 61.07°, β = 61.07°, γ = 61.07°
Element x y z (fractional)
Tm 0.0000 0.0000 0.0000
Tm 0.3796 0.3796 0.8739
Tm 0.3796 0.8739 0.3796
Tm 0.8739 0.3796 0.3796
Pu 0.7586 0.7586 0.7586
Sc 0.3805 0.3805 0.3805
S 0.1350 0.1350 0.1350
S 0.1397 0.1397 0.6018
S 0.1397 0.6018 0.1397
S 0.1676 0.6102 0.6102
S 0.6018 0.1397 0.1397
S 0.6102 0.1676 0.6102
S 0.6102 0.6102 0.1676
S 0.6182 0.6182 0.6182

4.
Computed, not measured: an optimized crystal structure of LiP2SeCl at the PBE-GGA level of DFT.

Values from the calculation:
For the formation energy from raw total energies, the calculation gives 290 kJ/mol of formula units. As for the total moment: 0.00 Bohr magnetons per cell. The calculation puts the excess energy over the best structure of this formula in the dataset at 0.1911 eV per atom.

a = 4.6972 Å, b = 4.6972 Å, c = 4.1754 Å
α = 90.00°, β = 90.00°, γ = 90.00°
Element x y z (fractional)
Li 0.0000 0.0000 0.0000
P 0.0000 0.5000 0.0000
P 0.5000 0.0000 0.0000
Se 0.5000 0.5000 0.5000
Cl 0.0000 0.0000 0.5000

5.
Computed, not measured: an optimized crystal structure of Tl3Sn2Bi2 at the PBE-GGA level of DFT.

Values from the calculation:
As for the total moment: 0.00 Bohr magnetons per cell. As for the formation enthalpy at 0 K: -0.2 meV per atom.

a = 5.5915 Å, b = 5.5915 Å, c = 8.7735 Å
α = 109.53°, β = 109.53°, γ = 62.27°
Element x y z (fractional)
Tl 0.0000 0.0000 0.0000
Tl 0.1397 0.1397 0.4114
Tl 0.8603 0.8603 0.5886
Sn 0.2751 0.2751 0.8365
Sn 0.7249 0.7249 0.1635
Bi 0.4118 0.4118 0.2286
Bi 0.5882 0.5882 0.7714

6.
Computed, not measured: an optimized crystal structure of CePaB4 at the PBE-GGA level of DFT.

Values from the calculation:
As for the total moment: 0.00 Bohr magnetons per cell. As for the formation enthalpy at 0 K: -573.8 meV per atom. The calculation puts the excess energy over the best structure of this formula in the dataset at 0.0000 eV per atom.

a = 5.2126 Å, b = 5.2126 Å, c = 5.2126 Å
α = 144.38°, β = 115.96°, γ = 75.48°
Element x y z (fractional)
Ce 0.0000 0.0000 0.0000
Pa 0.5000 0.5000 0.0000
B 0.0846 0.7515 0.3331
B 0.4183 0.7515 0.6669
B 0.5817 0.2485 0.3331
B 0.9154 0.2485 0.6669

7.
Computed, not measured: an optimized crystal structure of MnInTePb2 at the PBE-GGA level of DFT.

Values from the calculation:
For the formation energy from raw total energies, the calculation gives 697 kJ/mol of formula units. As for the total moment: 0.39 Bohr magnetons per cell.

a = 5.6666 Å, b = 5.6666 Å, c = 5.7141 Å
α = 90.00°, β = 90.00°, γ = 90.00°
Element x y z (fractional)
Mn 0.0000 0.0000 0.0000
In 0.5000 0.5000 0.5000
Te 0.5000 0.5000 0.0000
Pb 0.0000 0.5000 0.5000
Pb 0.5000 0.0000 0.5000

8.
Computed, not measured: an optimized crystal structure of Sm8Cu2Rh at the PBE-GGA level of DFT.

Values from the calculation:
As for the total moment: 0.00 Bohr magnetons per cell. As for the formation enthalpy at 0 K: -80.2 meV per atom. The calculation puts the excess energy over the best structure of this formula in the dataset at 0.1068 eV per atom.

a = 7.8119 Å, b = 7.8119 Å, c = 6.0951 Å
α = 101.38°, β = 101.38°, γ = 114.32°
Element x y z (fractional)
Sm 0.0000 0.0000 0.0000
Sm 0.0182 0.2749 0.5827
Sm 0.1641 0.5642 0.1910
Sm 0.2749 0.0182 0.5827
Sm 0.4554 0.7097 0.8187
Sm 0.5642 0.1641 0.1910
Sm 0.7097 0.4554 0.8187
Sm 0.7273 0.7273 0.3766
Cu 0.0555 0.6674 0.6900
Cu 0.6674 0.0555 0.6900
Rh 0.3591 0.3591 0.0194

Q: What is the total moment in the fourth record?
A: 0.00 Bohr magnetons per cell